[1]
First-principles (PBE) data for Y4Si2H after structural relaxation, as listed in Alexandria via LeMat-Bulk.

Unit cell a=6.1475 b=6.4541 c=8.4025 alpha=90.00 beta=109.73 gamma=90.00
Fractional coordinates of all 14 atoms:
Y  0.9077  0.2500  0.0913
Y  0.0691  0.7500  0.3806
H  0.7485  0.2500  0.8100
Si  0.2481  0.2500  0.4315
H  0.2515  0.7500  0.1900
Y  0.4877  0.5003  0.7361
Si  0.2943  0.2500  0.9543
Y  0.4877  0.9997  0.7361
Y  0.0923  0.7500  0.9087
Y  0.5123  0.0003  0.2639
Si  0.7057  0.7500  0.0457
Y  0.9309  0.2500  0.6194
Si  0.7519  0.7500  0.5685
Y  0.5123  0.4997  0.2639

The energy above the lowest structure with this stoichiometry is 0 meV/atom. The symmetry is P2_1/m (11). As for the density of states at the Fermi level: 9.2 states/eV/cell. The final energy is -44.323 eV/f.u.


[2]
First-principles (PBE) data for Pr4Er2Tm2Sc after structural relaxation, as listed in Alexandria via LeMat-Bulk.

Unit cell a=5.0467 b=7.9944 c=7.9899 alpha=107.58 beta=90.00 gamma=108.40
Fractional coordinates of all 9 atoms:
Pr  0.2220  0.4440  0.3288
Pr  0.7780  0.5560  0.6712
Er  0.8885  0.7771  0.3253
Tm  0.6655  0.3310  0.9996
Sc  0.0000  0.0000  0.0000
Er  0.1115  0.2229  0.6747
Pr  0.4472  0.8945  0.6730
Pr  0.5528  0.1055  0.3270
Tm  0.3345  0.6690  0.0004

The calculation puts the energy of formation from the pure elements at 40 meV/atom. The symmetry is C2/m (12). As for the density of states at the Fermi level: 14.9 states/eV/cell. The final energy is -43.155 eV/f.u.


[3]
First-principles (PBE) data for CaReAg2 after structural relaxation, as listed in Alexandria via LeMat-Bulk.

Unit cell a=3.3959 b=3.3959 c=6.8861 alpha=90.00 beta=90.00 gamma=90.00
Fractional coordinates of all 4 atoms:
Ag  0.0000  0.0000  0.9607
Re  0.5000  0.5000  0.7500
Ag  0.0000  0.0000  0.5393
Ca  0.5000  0.5000  0.2500

The calculation puts the energy of formation from the pure elements at 660 meV/atom. The energy above the lowest structure with this stoichiometry is 187 meV/atom. The symmetry is P4/mmm (123). As for the density of states at the Fermi level: 3.8 states/eV/cell. The final energy is -17.511 eV/f.u.